Crystalline BaHIrO6 at its relaxed geometry. Source: Alexandria via LeMat-Bulk, functional GGA-PBE.

## Properties
**Calculated density**: 5.07 Mg/m³
**E**: -5.8725 eV per atom

Lattice parameters (Å, degrees): 5.2933 5.1966 5.4093 87.50 89.00 70.02
Positions (direct):
Ba1 0.9787 0.0349 0.9036
H1 0.5480 0.8249 0.6412
Ir1 0.3423 0.3365 0.4655
O1 0.1046 0.1589 0.4029
O2 0.4949 0.9946 0.7337
O3 0.6024 0.4376 0.6079
O4 0.1222 0.4864 0.7306
O5 0.2188 0.6191 0.2489
O6 0.5879 0.1070 0.2656